Below is ScBe2Br at its PBEsol-relaxed geometry, with properties calculated at the meta-GGA SCAN level.

a = 6.3089 Å, b = 6.3089 Å, c = 6.3089 Å
α = 90.00°, β = 90.00°, γ = 90.00°
Space group F-43m (No. 216)
Inequivalent atoms, fractional coordinates:
Sc 0.0000 0.0000 0.0000 (multiplicity 4)
Be 0.0000 0.0000 0.5000 (multiplicity 4)
Be 0.2500 0.2500 0.2500 (multiplicity 4)
Br 0.2500 0.2500 0.7500 (multiplicity 4)

Values from the calculation:
The value obtained for the volume is 15.7 Å³ per atom. As for the uncorrected formation energy: 0.50 eV per atom. The calculation puts the total energy at -10.10 eV per atom. The energy above the most stable polymorph in this dataset is 1.57 eV per formula unit.

***

Below is Sc2BeBr at its PBEsol-relaxed geometry, with properties calculated at the meta-GGA SCAN level.

a = 3.3726 Å, b = 4.1879 Å, c = 5.2889 Å
α = 90.00°, β = 90.00°, γ = 90.00°
Space group Pmmm (No. 47)
Inequivalent atoms, fractional coordinates:
Sc 0.0000 0.0000 0.0000 (multiplicity 1)
Sc 0.5000 0.5000 0.5000 (multiplicity 1)
Be 0.0000 0.0000 0.5000 (multiplicity 1)
Br 0.5000 0.5000 0.0000 (multiplicity 1)

Values from the calculation:
The value obtained for the volume is 18.7 Å³ per atom. As for the uncorrected formation energy: -0.38 eV per atom. The calculation puts the total energy at -13.45 eV per atom. The energy above the most stable polymorph in this dataset is 0.00 eV per formula unit.

***

> What is the formula in the second record?

Sc2BeBr

***

Please write out number 1 again, unchanged.
Below is ScBe2Br at its PBEsol-relaxed geometry, with properties calculated at the meta-GGA SCAN level.

a = 6.3089 Å, b = 6.3089 Å, c = 6.3089 Å
α = 90.00°, β = 90.00°, γ = 90.00°
Space group F-43m (No. 216)
Inequivalent atoms, fractional coordinates:
Sc 0.0000 0.0000 0.0000 (multiplicity 4)
Be 0.0000 0.0000 0.5000 (multiplicity 4)
Be 0.2500 0.2500 0.2500 (multiplicity 4)
Br 0.2500 0.2500 0.7500 (multiplicity 4)

Values from the calculation:
The value obtained for the volume is 15.7 Å³ per atom. As for the uncorrected formation energy: 0.50 eV per atom. The calculation puts the total energy at -10.10 eV per atom. The energy above the most stable polymorph in this dataset is 1.57 eV per formula unit.